No. 1
Hg2TeAs | PBE-GGA | optimized geometry

Cell lengths 4.1198, 4.1198, 6.6957 Å; angles 90.00, 90.00, 90.00 degrees
Last column: nearest neighbours and their distance in Å.
Fractional coordinates of all 4 atoms:
Hg: 0.0000 0.5000 0.0000  4 Hg 2.91
Hg: 0.5000 0.0000 0.0000  4 Hg 2.91
Te: 0.0000 0.0000 0.5000  4 As 2.91
As: 0.5000 0.5000 0.5000  4 Te 2.91

Summary:
Distance to the lowest polymorph of the same formula in kJ/mol of formula units: 44.9
Density in g/cm3: 8.821
Magnetization in μB/cell: 0.0
V in A^3/atom: 28.4
Formation energy (no corrections) in meV/atom: 194.6


No. 2
HgTe2As2 | PBE-GGA | optimized geometry

Cell lengths 5.9655, 5.9655, 5.9655 Å; angles 123.88, 123.88, 83.41 degrees
Last column: nearest neighbours and their distance in Å.
Fractional coordinates of all 5 atoms:
Hg: 0.0000 0.0000 0.0000  2 As 3.10
Te: 0.2500 0.7500 0.5000  4 As 2.94
Te: 0.7500 0.2500 0.5000  4 As 2.94
As: 0.3477 0.3477 0.0000  1 As 2.71, 4 Te 2.94
As: 0.6523 0.6523 0.0000  1 As 2.71, 4 Te 2.94

Summary:
Distance to the lowest polymorph of the same formula in kJ/mol of formula units: 0.0
Density in g/cm3: 7.168
Magnetization in μB/cell: 0.0
V in A^3/atom: 28.1
Formation energy (no corrections) in meV/atom: 132.3


No. 3
HgTe2As | PBE-GGA | optimized geometry

Cell lengths 8.8257, 8.8257, 8.8257 Å; angles 139.36, 139.36, 58.82 degrees
Last column: nearest neighbours and their distance in Å.
Fractional coordinates of all 8 atoms:
Hg: 0.0000 0.0000 0.0000  4 Te 2.98
Hg: 0.7500 0.2500 0.5000  4 Te 2.98
Te: 0.1512 0.6250 0.0262  2 As 2.82, 2 Hg 2.98
Te: 0.3750 0.4012 0.5262  2 As 2.82, 2 Hg 2.98
Te: 0.5988 0.1250 0.9738  2 As 2.82, 2 Hg 2.98
Te: 0.8750 0.8488 0.4738  2 As 2.82, 2 Hg 2.98
As: 0.2500 0.7500 0.5000  4 Te 2.82
As: 0.5000 0.5000 0.0000  4 Te 2.82

Summary:
Distance to the lowest polymorph of the same formula in kJ/mol of formula units: 54.5
Density in g/cm3: 6.102
Magnetization in μB/cell: 0.0
V in A^3/atom: 36.1
Formation energy (no corrections) in meV/atom: 138.7


- Which of these has the highest density?
  Hg2TeAs